# 1
MgCoCuGe: relaxed, GGA-PBE.

Lattice parameters (Å, degrees): 4.2118 4.2118 4.2118 60.00 60.00 60.00
Fractional positions:
Mg1 0.0000 0.0000 0.0000
Co1 0.7500 0.7500 0.7500
Cu1 0.2500 0.2500 0.2500
Ge1 0.5000 0.5000 0.5000

Calculated values
energy above the most stable polymorph in this dataset = 0.000 eV per atom

***

# 2
CsAgTe3Os: relaxed, GGA-PBE.

Lattice parameters (Å, degrees): 9.2547 4.0962 10.9444 90.00 114.15 90.00
Fractional positions:
Cs1 0.2486 0.2500 0.2784
Cs2 0.7514 0.7500 0.7216
Ag1 0.0564 0.2500 0.6057
Ag2 0.9436 0.7500 0.3943
Te1 0.1410 0.2500 0.8763
Te2 0.2665 0.7500 0.5876
Te3 0.4760 0.7500 0.1169
Te4 0.5240 0.2500 0.8831
Te5 0.7335 0.2500 0.4124
Te6 0.8590 0.7500 0.1237
Os1 0.3183 0.7500 0.8456
Os2 0.6817 0.2500 0.1544

Calculated values
energy above the most stable polymorph in this dataset = 0.000 eV per atom

***

# 3
Pr2NdHg3PdAu2: relaxed, GGA-PBE.

Lattice parameters (Å, degrees): 3.9544 8.0115 8.0115 119.91 90.00 90.00
Fractional positions:
Pr1 0.0000 0.1982 0.8018
Pr2 0.0000 0.8018 0.1982
Nd1 0.0000 0.4055 0.4055
Hg1 0.5000 0.0612 0.0612
Hg2 0.5000 0.5431 0.8008
Hg3 0.5000 0.8008 0.5431
Pd1 0.0000 0.8009 0.8009
Au1 0.5000 0.1367 0.4681
Au2 0.5000 0.4681 0.1367

Calculated values
E_form = -0.6632 eV per atom

***

# 4
AuBrO6: relaxed, GGA-PBE.

Lattice parameters (Å, degrees): 5.1876 5.1876 5.1876 60.00 60.00 60.00
Fractional positions:
Au1 0.0000 0.0000 0.0000
Br1 0.7500 0.7500 0.7500
O1 0.2668 0.2668 0.7332
O2 0.2668 0.7332 0.2668
O3 0.2668 0.7332 0.7332
O4 0.7332 0.2668 0.2668
O5 0.7332 0.2668 0.7332
O6 0.7332 0.7332 0.2668

***

# 5
NaHg3PbO4: relaxed, GGA-PBE.

Lattice parameters (Å, degrees): 5.7119 5.7119 5.7119 90.00 90.00 90.00
Fractional positions:
Na1 0.0000 0.0000 0.0000
Hg1 0.0000 0.5000 0.5000
Hg2 0.5000 0.0000 0.5000
Hg3 0.5000 0.5000 0.0000
Pb1 0.5000 0.5000 0.5000
O1 0.2555 0.2555 0.2555
O2 0.2555 0.7445 0.7445
O3 0.7445 0.2555 0.7445
O4 0.7445 0.7445 0.2555

***

# 6
AlCuSbIr: relaxed, GGA-PBE.

Lattice parameters (Å, degrees): 4.4942 4.4942 4.4942 60.00 60.00 60.00
Fractional positions:
Al1 0.0000 0.0000 0.0000
Cu1 0.2500 0.2500 0.2500
Sb1 0.5000 0.5000 0.5000
Ir1 0.7500 0.7500 0.7500

Calculated values
energy above the most stable polymorph in this dataset = 0.000 eV per atom

***

# 7
LuInPd2: relaxed, GGA-PBE.

Lattice parameters (Å, degrees): 4.7543 4.7543 4.7543 60.00 60.00 60.00
Fractional positions:
Lu1 0.0000 0.0000 0.0000
In1 0.7500 0.7500 0.7500
Pd1 0.2500 0.2500 0.2500
Pd2 0.5000 0.5000 0.5000

***

# 8
CdCu2B: relaxed, GGA-PBE.

Lattice parameters (Å, degrees): 4.1778 4.1778 4.1778 60.00 60.00 60.00
Fractional positions:
Cd1 0.0000 0.0000 0.0000
Cu1 0.2500 0.2500 0.2500
Cu2 0.5000 0.5000 0.5000
B1 0.7500 0.7500 0.7500

***

Number 1: uncorrected energy -4.29 eV per atom. Number 2: uncorrected energy -4.25 eV per atom. Number 3: uncorrected energy -3.65 eV per atom. Number 4: uncorrected energy -2.98 eV per atom. Number 5: uncorrected energy -3.07 eV per atom. Number 6: uncorrected energy -5.16 eV per atom. Number 7: uncorrected energy -4.97 eV per atom. Number 8: uncorrected energy -3.04 eV per atom.